A relaxed structure of CaHo8Er6. Source: Alexandria, functional PBE-GGA.

Properties
* energy of formation from the pure elements: 210 meV/atom
* electronic total energy: -188.57 eV for the cell shown

a b c (Å): 9.5406 9.5406 17.7883
angles (deg): 90.00 90.00 120.00
Space group R-3 (No. 148, hexagonal axes)
Inequivalent atoms, fractional coordinates:
Ca 0.0000 0.0000 0.0000
Ho 0.0000 0.0000 0.2411
Ho 0.0469 0.7686 0.9028
Er 0.0281 0.7940 0.4109